(1)
This record from Alexandria describes an optimized crystal structure of Ac4TbPu3Se8. The functional is PBE.

The space group is R-3m (No. 166, hexagonal axes) and the conventional cell measures 8.5571, 8.5571 and 21.3450 Å, with angles of 90.00, 90.00 and 120.00 degrees. The asymmetric unit holds Ac at (0.0000, 0.0000, 0.0000), Ac at (0.0000, 0.5000, 0.0000), Tb at (0.0000, 0.0000, 0.5000), Pu at (0.0000, 0.5000, 0.5000), Se at (0.0000, 0.0000, 0.2425) and Se at (0.0022, 0.5011, 0.2422).

The value obtained for the electronic total energy is -7.468 eV/atom. The value obtained for the calculated volume is 28.20 Å³/atom.

=====

(2)
This record from Alexandria describes an optimized crystal structure of Mg2TiCrP. The functional is PBE.

The space group is P4/mmm (No. 123) and the conventional cell measures 5.239, 5.239 and 4.138 Å, with angles of 90.00, 90.00 and 90.00 degrees. The asymmetric unit holds Mg at (0.000, 0.500, 0.000), Ti at (0.000, 0.000, 0.000), Cr at (0.000, 0.000, 0.500) and P at (0.500, 0.500, 0.500).

The formation enthalpy at 0 K comes out at 1.2248 eV per atom. The value obtained for the electronic total energy is -3.999 eV/atom. The value obtained for the calculated volume is 22.72 Å³/atom.

=====

(3)
This record from Alexandria describes an optimized crystal structure of Er4Al2In. The functional is PBE.

The space group is R-3m (No. 166, hexagonal axes) and the conventional cell measures 5.0052, 5.0052 and 27.4912 Å, with angles of 90.00, 90.00 and 120.00 degrees. The asymmetric unit holds Er at (0.0000, 0.0000, 0.1182), Er at (0.0000, 0.0000, 0.2962), Al at (0.0000, 0.0000, 0.4033) and In at (0.0000, 0.0000, 0.5000).

The formation enthalpy at 0 K comes out at -0.0881 eV per atom. The value obtained for the electronic total energy is -4.156 eV/atom. The value obtained for the calculated volume is 28.40 Å³/atom. The calculation puts the offset from the most stable computed form at 161.1 meV per atom.

=====

(4)
This record from Alexandria describes an optimized crystal structure of Tb3CeAg2. The functional is PBE.

The space group is P4/mmm (No. 123) and the conventional cell measures 3.622, 3.622 and 12.064 Å, with angles of 90.00, 90.00 and 90.00 degrees. The asymmetric unit holds Tb at (0.000, 0.000, 0.000), Tb at (0.000, 0.000, 0.305), Ce at (0.500, 0.500, 0.500) and Ag at (0.500, 0.500, 0.153).

The formation enthalpy at 0 K comes out at -0.1655 eV per atom. The value obtained for the electronic total energy is -4.420 eV/atom. The value obtained for the calculated volume is 26.37 Å³/atom.

=====

(5)
This record from Alexandria describes an optimized crystal structure of Ho2Tm3ScTe6. The functional is PBE.

The space group is C2/m (No. 12) and the conventional cell measures 18.708, 4.277 and 8.619 Å, with angles of 90.00, 103.20 and 90.00 degrees. The asymmetric unit holds Ho at (0.168, 0.000, 0.333), Tm at (0.000, 0.500, 0.500), Tm at (0.172, 0.000, 0.836), Sc at (0.000, 0.500, 0.000), Te at (0.002, 0.000, 0.757), Te at (0.162, 0.500, 0.078) and Te at (0.165, 0.500, 0.585).

The value obtained for the electronic total energy is -5.160 eV/atom. The value obtained for the calculated volume is 27.98 Å³/atom.

=====

(6)
This record from Alexandria describes an optimized crystal structure of BaNa2InW. The functional is PBE.

The space group is P4/mmm (No. 123) and the conventional cell measures 5.787, 5.787 and 5.425 Å, with angles of 90.00, 90.00 and 90.00 degrees. The asymmetric unit holds Ba at (0.000, 0.000, 0.000), Na at (0.000, 0.500, 0.500), In at (0.500, 0.500, 0.000) and W at (0.500, 0.500, 0.500).

The formation enthalpy at 0 K comes out at 0.9009 eV per atom. The value obtained for the electronic total energy is -3.150 eV/atom. The value obtained for the calculated volume is 36.33 Å³/atom.